Here is a geometry-optimized Hg2F structure from OQMD via LeMat-Bulk. Energies are from GGA-PBE.

Computed properties:
Volume   20.5 Å³/atom
E above lowest polymorph   0.000 eV/atom
Symmetry   No. 225

Cell: 4.4308 4.4308 4.4308 Å, 60.00 60.00 60.00°
Positions (direct):
Hg1 0.2500 0.2500 0.2500
Hg2 0.7500 0.7500 0.7500
F1 0.0000 0.0000 0.0000